This record from Alexandria describes a geometry-optimized La4PtRhBr2 structure. The functional is GGA-PBE.

Geometry as POSCAR:
```
La4PtRhBr2
1.0
4.2364 0.0000 0.0000
0.0000 7.3614 0.1093
0.0000 -2.5884 7.8675
La Pt Rh Br
4 1 1 2
Direct
0.5000 0.2284 0.1970
0.5000 0.7716 0.8030
0.0000 0.2623 0.8029
0.0000 0.7377 0.1971
0.5000 0.5000 0.0000
0.0000 0.0000 0.0000
0.5000 0.0000 0.5000
0.0000 0.5000 0.5000
```

E_form (uncorrected)   -1.27 eV/atom
SG   No. 10
Calculated volume   30.82 A^3/atom

---

This record from Alexandria describes a geometry-optimized La6Pt2RhBr3 structure. The functional is GGA-PBE.

Geometry as POSCAR:
```
La6Pt2RhBr3
1.0
4.2577 0.0000 0.0000
0.0000 9.2943 -0.2034
-2.1289 -3.2373 9.4694
La Pt Rh Br
6 2 1 3
Direct
0.3479 0.8918 0.6959
0.6771 0.5551 0.3542
0.6521 0.1082 0.3041
0.0101 0.2168 0.0202
0.9899 0.7832 0.9798
0.3229 0.4449 0.6458
0.8336 0.6668 0.6672
0.1664 0.3332 0.3328
0.5000 0.0000 0.0000
0.5000 0.5000 0.0000
0.8331 0.1684 0.6662
0.1669 0.8316 0.3338
```

E_form (uncorrected)   -1.29 eV/atom
SG   No. 12
Calculated volume   30.99 A^3/atom

---

This record from Alexandria describes a geometry-optimized La4RuPtBr2 structure. The functional is GGA-PBE.

Geometry as POSCAR:
```
La4RuPtBr2
1.0
-1.5281 -3.2074 -2.2578
5.8722 0.2635 -4.3486
1.7784 -5.2050 6.1905
La Ru Pt Br
4 1 1 2
Direct
0.5000 0.2432 0.1953
0.5000 0.7568 0.8047
0.0000 0.2770 0.8011
0.0000 0.7230 0.1989
0.5000 0.5000 0.0000
0.0000 0.0000 0.0000
0.5000 0.0000 0.5000
0.0000 0.5000 0.5000
```

E_form (uncorrected)   -1.17 eV/atom
SG   No. 10
Calculated volume   30.45 A^3/atom

---

This record from Alexandria describes a geometry-optimized La6RuPt2Br3 structure. The functional is GGA-PBE.

Geometry as POSCAR:
```
La6RuPt2Br3
1.0
-2.3624 -3.0558 1.7317
7.0233 -2.2123 5.6772
-4.6746 8.4521 3.3645
La Ru Pt Br
6 1 2 3
Direct
0.3507 0.8954 0.7013
0.6761 0.5554 0.3523
0.6493 0.1046 0.2987
0.0084 0.2124 0.0168
0.9916 0.7876 0.9832
0.3239 0.4446 0.6477
0.5000 0.0000 0.0000
0.8327 0.6647 0.6654
0.1673 0.3353 0.3346
0.5000 0.5000 0.0000
0.8335 0.1683 0.6670
0.1665 0.8317 0.3330
```

E_form (uncorrected)   -1.23 eV/atom
SG   No. 12
Calculated volume   30.76 A^3/atom

---

This record from Alexandria describes a geometry-optimized La8Ru3PtBr4 structure. The functional is GGA-PBE.

Geometry as POSCAR:
```
La8Ru3PtBr4
1.0
8.3653 0.0000 0.0000
0.0000 9.2584 0.6253
-4.1826 -4.1753 5.9188
La Ru Pt Br
8 3 1 4
Direct
0.2374 0.6956 0.9583
0.2374 0.6958 0.4748
0.2671 0.3013 0.5341
0.7209 0.6956 0.9583
0.2791 0.3044 0.0417
0.7329 0.6987 0.4659
0.7626 0.3042 0.5252
0.7626 0.3044 0.0417
0.5000 0.5000 0.0000
0.5000 0.5000 0.5000
0.0000 0.5000 0.5000
0.0000 0.5000 0.0000
0.5000 0.0000 0.0000
0.5000 0.0000 0.5000
0.0000 0.0000 0.0000
0.0000 0.0000 0.5000
```

E_form (uncorrected)   -1.05 eV/atom
SG   No. 166
Calculated volume   30.02 A^3/atom

---

This record from Alexandria describes a geometry-optimized La4PtSBr2 structure. The functional is GGA-PBE.

Geometry as POSCAR:
```
La4PtSBr2
1.0
-2.1607 0.8492 -3.4375
-2.7448 -6.9665 0.0043
-4.8585 4.5462 4.1771
La Pt S Br
4 1 1 2
Direct
0.5000 0.2279 0.2149
0.5000 0.7721 0.7851
0.0000 0.2681 0.7882
0.0000 0.7319 0.2118
0.5000 0.5000 0.0000
0.0000 0.0000 0.0000
0.5000 0.0000 0.5000
0.0000 0.5000 0.5000
```

E_form (uncorrected)   -1.53 eV/atom
SG   No. 10
Calculated volume   28.99 A^3/atom

---

This record from Alexandria describes a geometry-optimized La4PtS2Br structure. The functional is GGA-PBE.

Geometry as POSCAR:
```
La4PtS2Br
1.0
4.1290 0.0000 0.0000
0.0000 7.4638 -0.1802
0.0000 2.6005 6.9575
La Pt S Br
4 1 2 1
Direct
0.0000 0.7519 0.7624
0.0000 0.2481 0.2376
0.5000 0.7754 0.2351
0.5000 0.2246 0.7649
0.5000 0.5000 0.0000
0.0000 0.0000 0.0000
0.5000 0.0000 0.5000
0.0000 0.5000 0.5000
```

E_form (uncorrected)   -1.70 eV/atom
SG   No. 10
Calculated volume   27.04 A^3/atom

---

This record from Alexandria describes a geometry-optimized La2ScPtBr structure. The functional is GGA-PBE.

Geometry as POSCAR:
```
La2ScPtBr
1.0
5.8439 0.0000 0.0000
0.0000 5.0389 0.0000
0.0000 0.0000 5.8439
Sc Br Pt La
1 1 1 2
Direct
0.0000 0.5000 0.0000
0.5000 0.5000 0.5000
0.0000 0.0000 0.0000
0.0000 0.0000 0.5000
0.5000 0.0000 0.0000
```

E_form (uncorrected)   -0.61 eV/atom
SG   No. 123
Calculated volume   34.42 A^3/atom

---

This record from Alexandria describes a geometry-optimized LaScPt2Br structure. The functional is GGA-PBE.

Geometry as POSCAR:
```
LaScPt2Br
1.0
4.7995 0.0000 0.0000
0.0000 6.2879 0.0000
0.0000 0.0000 4.7995
Sc Br Pt La
1 1 2 1
Direct
0.0000 0.0000 0.0000
0.5000 0.5000 0.5000
0.0000 0.0000 0.5000
0.5000 0.0000 0.0000
0.0000 0.5000 0.0000
```

E_form (uncorrected)   -0.02 eV/atom
SG   No. 123
Calculated volume   28.97 A^3/atom

---

This record from Alexandria describes a geometry-optimized LaPtSe2Br structure. The functional is GGA-PBE.

Geometry as POSCAR:
```
LaPtSe2Br
1.0
5.0637 0.0000 0.0000
0.0000 5.0637 0.0000
0.0000 0.0000 4.9985
Se Br Pt La
2 1 1 1
Direct
0.0000 0.5000 0.0000
0.5000 0.0000 0.0000
0.0000 0.0000 0.5000
0.0000 0.0000 0.0000
0.5000 0.5000 0.5000
```

E_form (uncorrected)   -0.77 eV/atom
SG   No. 123
Relative energy among the computed polymorphs   0 meV per atom
Calculated volume   25.63 A^3/atom

---

This record from Alexandria describes a geometry-optimized La6Pt2SeBr3 structure. The functional is GGA-PBE.

Geometry as POSCAR:
```
La6Pt2SeBr3
1.0
-1.1641 -6.7282 3.2074
4.3145 0.4973 -6.1683
4.9148 3.0675 5.2359
La Pt Se Br
6 2 1 3
Direct
0.9274 0.5768 0.7849
0.7193 0.7193 0.2094
0.0726 0.4232 0.2152
0.5768 0.9274 0.7849
0.2807 0.2807 0.7906
0.4232 0.0726 0.2152
0.3321 0.6679 0.0000
0.6679 0.3321 0.0000
0.0000 0.0000 0.0000
0.1561 0.8439 0.5000
0.8439 0.1561 0.5000
0.5000 0.5000 0.5000
```

E_form (uncorrected)   -1.43 eV/atom
SG   No. 12
Calculated volume   30.46 A^3/atom

---

This record from Alexandria describes a geometry-optimized La4PtSe2Br structure. The functional is GGA-PBE.

Geometry as POSCAR:
```
La4PtSe2Br
1.0
4.2091 0.0000 0.0000
0.0000 7.6140 -0.1855
0.0000 2.6512 7.0863
La Pt Se Br
4 1 2 1
Direct
0.0000 0.7387 0.7690
0.0000 0.2613 0.2310
0.5000 0.7617 0.2398
0.5000 0.2383 0.7602
0.5000 0.5000 0.0000
0.0000 0.0000 0.0000
0.5000 0.0000 0.5000
0.0000 0.5000 0.5000
```

E_form (uncorrected)   -1.63 eV/atom
SG   No. 10
Calculated volume   28.65 A^3/atom